# 1
The following is a DFT calculation (PBE) of a relaxed structure of Sr3ErRh8.

Calculated volume ... 227.9 Å³/cell
Total magnetic moment ... 0.0 Bohr magnetons per cell
DOS at the Fermi energy ... 1.129 states/eV per atom
Space-group type ... R3m
Formation energy ... -4.62 eV/f.u.

Lattice parameters (Å, degrees): 9.437 9.437 9.437 33.48 33.48 33.48
Fractional positions:
Sr 0.000 0.000 0.000
Sr 0.124 0.124 0.124
Sr 0.627 0.627 0.627
Er 0.500 0.500 0.500
Rh 0.062 0.062 0.558
Rh 0.062 0.558 0.062
Rh 0.069 0.563 0.563
Rh 0.313 0.313 0.313
Rh 0.558 0.062 0.062
Rh 0.563 0.069 0.563
Rh 0.563 0.563 0.069
Rh 0.813 0.813 0.813



# 2
The following is a DFT calculation (PBE) of a relaxed structure of SrErRh4.

Calculated volume ... 110.9 Å³/cell
Total magnetic moment ... 0.0 Bohr magnetons per cell
DOS at the Fermi energy ... 0.505 states/eV per atom
Space-group type ... F-43m
Formation energy ... -2.99 eV/f.u.

Lattice parameters (Å, degrees): 5.393 5.393 5.393 60.00 60.00 60.00
Fractional positions:
Sr 0.000 0.000 0.000
Er 0.250 0.250 0.250
Rh 0.126 0.625 0.625
Rh 0.625 0.126 0.625
Rh 0.625 0.625 0.126
Rh 0.625 0.625 0.625



# 3
The following is a DFT calculation (PBE) of a relaxed structure of SrEr2Rh.

Calculated volume ... 118.6 Å³/cell
Total magnetic moment ... 0.0 Bohr magnetons per cell
E above lowest polymorph ... 0.0 meV per atom
DOS at the Fermi energy ... 1.195 states/eV per atom
Space-group type ... P4/mmm
Formation energy ... -1.45 eV/f.u.

Lattice parameters (Å, degrees): 3.518 3.518 9.582 90.00 90.00 90.00
Fractional positions:
Sr 0.000 0.000 0.000
Er 0.500 0.500 0.335
Er 0.500 0.500 0.665
Rh 0.000 0.000 0.500



# 4
The following is a DFT calculation (PBE) of a relaxed structure of Sr2ErRh9.

Calculated volume ... 219.2 Å³/cell
Total magnetic moment ... 0.0 Bohr magnetons per cell
DOS at the Fermi energy ... 1.217 states/eV per atom
Space-group type ... R-3m
Formation energy ... -3.37 eV/f.u.

Lattice parameters (Å, degrees): 9.442 9.442 9.442 32.76 32.76 32.76
Fractional positions:
Sr 0.141 0.141 0.141
Sr 0.859 0.859 0.859
Er 0.000 0.000 0.000
Rh 0.083 0.577 0.577
Rh 0.332 0.332 0.332
Rh 0.423 0.423 0.917
Rh 0.423 0.917 0.423
Rh 0.500 0.500 0.500
Rh 0.577 0.083 0.577
Rh 0.577 0.577 0.083
Rh 0.668 0.668 0.668
Rh 0.917 0.423 0.423



# 5
The following is a DFT calculation (PBE) of a relaxed structure of SrErRh.

Calculated volume ... 396.9 Å³/cell
Total magnetic moment ... 0.0 Bohr magnetons per cell
DOS at the Fermi energy ... 0.573 states/eV per atom
Space-group type ... C2/m
Formation energy ... -1.35 eV/f.u.

Lattice parameters (Å, degrees): 10.881 10.881 7.559 92.40 92.40 26.35
Fractional positions:
Sr 0.078 0.078 0.313
Sr 0.411 0.411 0.163
Sr 0.589 0.589 0.837
Sr 0.922 0.922 0.687
Er 0.211 0.211 0.614
Er 0.233 0.233 0.131
Er 0.767 0.767 0.869
Er 0.789 0.789 0.386
Rh 0.318 0.318 0.840
Rh 0.331 0.331 0.479
Rh 0.669 0.669 0.521
Rh 0.682 0.682 0.160



# 6
The following is a DFT calculation (PBE) of a relaxed structure of SrEr2Rh3.

Calculated volume ... 125.2 Å³/cell
Total magnetic moment ... 0.0 Bohr magnetons per cell
DOS at the Fermi energy ... 0.463 states/eV per atom
Space-group type ... P4/mmm
Formation energy ... -4.14 eV/f.u.

Lattice parameters (Å, degrees): 3.410 3.410 10.768 90.00 90.00 90.00
Fractional positions:
Sr 0.000 0.000 0.000
Er 0.000 0.000 0.340
Er 0.000 0.000 0.660
Rh 0.500 0.500 0.198
Rh 0.500 0.500 0.500
Rh 0.500 0.500 0.802



# 7
The following is a DFT calculation (PBE) of a relaxed structure of SrEr3Rh.

Calculated volume ... 162.7 Å³/cell
Total magnetic moment ... 0.0 Bohr magnetons per cell
DOS at the Fermi energy ... 1.103 states/eV per atom
Space-group type ... Pm-3m
Formation energy ... -1.52 eV/f.u.

Lattice parameters (Å, degrees): 5.460 5.460 5.460 90.00 90.00 90.00
Fractional positions:
Sr 0.000 0.000 0.000
Er 0.000 0.500 0.500
Er 0.500 0.000 0.500
Er 0.500 0.500 0.000
Rh 0.500 0.500 0.500



# 8
The following is a DFT calculation (PBE) of a relaxed structure of SrErRh2.

Calculated volume ... 86.2 Å³/cell
Total magnetic moment ... 0.0 Bohr magnetons per cell
E above lowest polymorph ... 0.0 meV per atom
DOS at the Fermi energy ... 0.149 states/eV per atom
Space-group type ... P4/mmm
Formation energy ... -2.22 eV/f.u.

Lattice parameters (Å, degrees): 3.453 3.453 7.230 90.00 90.00 90.00
Fractional positions:
Sr 0.000 0.000 0.000
Er 0.000 0.000 0.500
Rh 0.500 0.500 0.286
Rh 0.500 0.500 0.714



# 9
The following is a DFT calculation (PBE) of a relaxed structure of ErTaRh.

Calculated volume ... 131.9 Å³/cell
Total magnetic moment ... 0.0 Bohr magnetons per cell
DOS at the Fermi energy ... 1.175 states/eV per atom
Space-group type ... P4/nmm
Formation energy ... -1.21 eV/f.u.

Lattice parameters (Å, degrees): 4.505 4.505 6.499 90.00 90.00 90.00
Fractional positions:
Er 0.250 0.250 0.134
Er 0.750 0.750 0.866
Ta 0.250 0.750 0.500
Ta 0.750 0.250 0.500
Rh 0.250 0.250 0.694
Rh 0.750 0.750 0.306



# 10
The following is a DFT calculation (PBE) of a relaxed structure of ErTaTcRh.

Calculated volume ... 70.2 Å³/cell
Total magnetic moment ... 0.0 Bohr magnetons per cell
DOS at the Fermi energy ... 0.558 states/eV per atom
Space-group type ... F-43m
Formation energy ... -1.69 eV/f.u.

Lattice parameters (Å, degrees): 4.630 4.630 4.630 60.00 60.00 60.00
Fractional positions:
Er 0.000 0.000 0.000
Ta 0.500 0.500 0.500
Tc 0.250 0.250 0.250
Rh 0.750 0.750 0.750



# 11
The following is a DFT calculation (PBE) of a relaxed structure of TbErRh.

Calculated volume ... 74.5 Å³/cell
Total magnetic moment ... 0.0 Bohr magnetons per cell
E above lowest polymorph ... 73.6 meV per atom
DOS at the Fermi energy ... 1.148 states/eV per atom
Space-group type ... I4mm
Formation energy ... -1.70 eV/f.u.

Lattice parameters (Å, degrees): 6.739 6.739 6.739 150.40 150.40 42.36
Fractional positions:
Tb 0.000 0.000 0.000
Er 0.738 0.738 0.000
Rh 0.366 0.366 0.000



# 12
The following is a DFT calculation (PBE) of a relaxed structure of Tb3Er4Rh4.

Calculated volume ... 260.3 Å³/cell
Total magnetic moment ... 0.0 Bohr magnetons per cell
DOS at the Fermi energy ... 0.666 states/eV per atom
Space-group type ... Immm
Formation energy ... -7.28 eV/f.u.

Lattice parameters (Å, degrees): 9.224 9.224 9.224 156.55 122.99 62.49
Fractional positions:
Tb 0.000 0.000 0.000
Tb 0.397 0.897 0.500
Tb 0.603 0.103 0.500
Er 0.022 0.334 0.688
Er 0.353 0.666 0.688
Er 0.647 0.334 0.312
Er 0.978 0.666 0.312
Rh 0.249 0.249 0.000
Rh 0.287 0.500 0.787
Rh 0.713 0.500 0.213
Rh 0.751 0.751 0.000



# 13
The following is a DFT calculation (PBE) of a relaxed structure of Tb3ErRh4.

Calculated volume ... 161.3 Å³/cell
Total magnetic moment ... 0.0 Bohr magnetons per cell
DOS at the Fermi energy ... 0.580 states/eV per atom
Space-group type ... C2/m
Formation energy ... -6.95 eV/f.u.

Lattice parameters (Å, degrees): 7.683 7.683 4.842 108.30 108.30 36.73
Fractional positions:
Tb 0.000 0.000 0.000
Tb 0.250 0.250 0.250
Tb 0.750 0.750 0.750
Er 0.500 0.500 0.500
Rh 0.124 0.124 0.624
Rh 0.376 0.376 0.876
Rh 0.624 0.624 0.124
Rh 0.876 0.876 0.376



# 14
The following is a DFT calculation (PBE) of a relaxed structure of TbErRh.

Calculated volume ... 148.5 Å³/cell
Total magnetic moment ... 0.0 Bohr magnetons per cell
E above lowest polymorph ... 0.0 meV per atom
DOS at the Fermi energy ... 0.873 states/eV per atom
Space-group type ... Cmcm
Formation energy ... -1.92 eV/f.u.

Lattice parameters (Å, degrees): 6.209 6.209 6.580 90.00 90.00 144.17
Fractional positions:
Tb 0.216 0.784 0.750
Tb 0.784 0.216 0.250
Er 0.500 0.500 0.000
Er 0.500 0.500 0.500
Rh 0.116 0.884 0.250
Rh 0.884 0.116 0.750



# 15
The following is a DFT calculation (PBE) of a relaxed structure of TbErRh.

Calculated volume ... 78.0 Å³/cell
Total magnetic moment ... 0.0 Bohr magnetons per cell
E above lowest polymorph ... 43.7 meV per atom
DOS at the Fermi energy ... 0.962 states/eV per atom
Space-group type ... F-43m
Formation energy ... -1.79 eV/f.u.

Lattice parameters (Å, degrees): 4.796 4.796 4.796 60.00 60.00 60.00
Fractional positions:
Tb 0.000 0.000 0.000
Er 0.500 0.500 0.500
Rh 0.750 0.750 0.750



# 16
The following is a DFT calculation (PBE) of a relaxed structure of TbEr3Rh4.

Calculated volume ... 158.0 Å³/cell
Total magnetic moment ... 0.0 Bohr magnetons per cell
DOS at the Fermi energy ... 0.500 states/eV per atom
Space-group type ... P4/mmm
Formation energy ... -7.29 eV/f.u.

Lattice parameters (Å, degrees): 4.849 4.849 6.718 90.00 90.00 90.00
Fractional positions:
Tb 0.000 0.000 0.000
Er 0.000 0.000 0.500
Er 0.500 0.500 0.000
Er 0.500 0.500 0.500
Rh 0.000 0.500 0.252
Rh 0.000 0.500 0.748
Rh 0.500 0.000 0.252
Rh 0.500 0.000 0.748



# 17
The following is a DFT calculation (PBE) of a relaxed structure of Tb3ErRh3.

Calculated volume ... 322.3 Å³/cell
Total magnetic moment ... 0.0 Bohr magnetons per cell
DOS at the Fermi energy ... 0.489 states/eV per atom
Space-group type ... Cmmm
Formation energy ... -5.01 eV/f.u.

Lattice parameters (Å, degrees): 6.924 6.924 6.724 90.00 90.00 91.08
Fractional positions:
Tb 0.245 0.245 0.000
Tb 0.246 0.754 0.000
Tb 0.256 0.256 0.500
Tb 0.744 0.744 0.500
Tb 0.754 0.246 0.000
Tb 0.755 0.755 0.000
Er 0.235 0.765 0.500
Er 0.765 0.235 0.500
Rh 0.000 0.000 0.250
Rh 0.000 0.000 0.750
Rh 0.000 0.500 0.253
Rh 0.000 0.500 0.747
Rh 0.500 0.000 0.253
Rh 0.500 0.000 0.747



# 18
The following is a DFT calculation (PBE) of a relaxed structure of Tb2ErRh3.

Calculated volume ... 241.0 Å³/cell
Total magnetic moment ... 0.0 Bohr magnetons per cell
E above lowest polymorph ... 0.0 meV per atom
DOS at the Fermi energy ... 0.685 states/eV per atom
Space-group type ... P-3m1
Formation energy ... -5.26 eV/f.u.

Lattice parameters (Å, degrees): 4.847 4.847 11.844 90.00 90.00 120.00
Fractional positions:
Tb 0.000 0.000 0.000
Tb 0.000 0.000 0.500
Tb 0.333 0.667 0.168
Tb 0.667 0.333 0.832
Er 0.333 0.667 0.666
Er 0.667 0.333 0.334
Rh 0.000 0.000 0.252
Rh 0.000 0.000 0.748
Rh 0.333 0.667 0.417
Rh 0.333 0.667 0.915
Rh 0.667 0.333 0.085
Rh 0.667 0.333 0.583



# 19
The following is a DFT calculation (PBE) of a relaxed structure of Tb3ErRh.

Calculated volume ... 159.0 Å³/cell
Total magnetic moment ... 0.0 Bohr magnetons per cell
DOS at the Fermi energy ... 1.614 states/eV per atom
Space-group type ... Pm-3m
Formation energy ... -0.93 eV/f.u.

Lattice parameters (Å, degrees): 5.417 5.417 5.417 90.00 90.00 90.00
Fractional positions:
Tb 0.000 0.000 0.500
Tb 0.000 0.500 0.000
Tb 0.500 0.000 0.000
Er 0.500 0.500 0.500
Rh 0.000 0.000 0.000



# 20
The following is a DFT calculation (PBE) of a relaxed structure of TbEr3Rh3.

Calculated volume ... 315.8 Å³/cell
Total magnetic moment ... 0.0 Bohr magnetons per cell
DOS at the Fermi energy ... 0.435 states/eV per atom
Space-group type ... Cmmm
Formation energy ... -5.27 eV/f.u.

Lattice parameters (Å, degrees): 6.886 6.886 6.662 90.00 90.00 91.02
Fractional positions:
Tb 0.244 0.244 0.000
Tb 0.756 0.756 0.000
Er 0.254 0.746 0.500
Er 0.255 0.255 0.500
Er 0.264 0.736 0.000
Er 0.736 0.264 0.000
Er 0.745 0.745 0.500
Er 0.746 0.254 0.500
Rh 0.000 0.500 0.251
Rh 0.000 0.500 0.749
Rh 0.500 0.000 0.251
Rh 0.500 0.000 0.749
Rh 0.500 0.500 0.252
Rh 0.500 0.500 0.748